No. 1
VASP calculation (GGA-PBE) on a relaxed structure of GaCo2Ir2.

Computed properties:
- E above lowest polymorph (kJ/mol of formula units) = 8
- formation energy (eV per atom) = 0.170
- electronic total energy (eV per atom) = -6.822

Cell: 7.1099 7.1099 2.7245 Å, 90.00 90.00 90.00°
Element x y z (fractional)
Ga: 0.0000 0.0000 0.0000
Ga: 0.5000 0.5000 0.0000
Co: 0.1209 0.3791 0.0000
Co: 0.3791 0.8791 0.0000
Co: 0.6209 0.1209 0.0000
Co: 0.8791 0.6209 0.0000
Ir: 0.1742 0.6742 0.5000
Ir: 0.3258 0.1742 0.5000
Ir: 0.6742 0.8258 0.5000
Ir: 0.8258 0.3258 0.5000

=====

No. 2
VASP calculation (GGA-PBE) on a relaxed structure of Ga2CoIr.

Computed properties:
- formation energy (eV per atom) = 0.680
- electronic total energy (eV per atom) = -4.825

Cell: 5.4798 5.4798 10.8851 Å, 90.00 90.00 90.00°
Element x y z (fractional)
Ga: 0.2372 0.2500 0.1250
Ga: 0.2500 0.7372 0.3750
Ga: 0.2500 0.7628 0.8750
Ga: 0.2628 0.2500 0.6250
Ga: 0.7372 0.7500 0.6250
Ga: 0.7500 0.2372 0.8750
Ga: 0.7500 0.2628 0.3750
Ga: 0.7628 0.7500 0.1250
Co: 0.0000 0.0000 0.0000
Co: 0.0000 0.5000 0.2500
Co: 0.5000 0.0000 0.7500
Co: 0.5000 0.5000 0.5000
Ir: 0.0000 0.0000 0.5000
Ir: 0.0000 0.5000 0.7500
Ir: 0.5000 0.0000 0.2500
Ir: 0.5000 0.5000 0.0000

=====

No. 3
VASP calculation (GGA-PBE) on a relaxed structure of Ga8CoIr2.

Computed properties:
- formation energy (eV per atom) = -0.189
- electronic total energy (eV per atom) = -4.648

Cell: 6.6761 6.6761 4.9086 Å, 106.30 106.30 75.07°
Element x y z (fractional)
Ga: 0.0360 0.0360 0.2829
Ga: 0.1607 0.6185 0.2004
Ga: 0.3155 0.3155 0.6606
Ga: 0.3815 0.8393 0.7996
Ga: 0.6185 0.1607 0.2004
Ga: 0.6845 0.6845 0.3394
Ga: 0.8393 0.3815 0.7996
Ga: 0.9640 0.9640 0.7171
Co: 0.5000 0.5000 0.5000
Ir: 0.2204 0.2204 0.0790
Ir: 0.7796 0.7796 0.9210

=====

No. 4
VASP calculation (GGA-PBE) on a relaxed structure of GaCoIr2.

Computed properties:
- formation energy (eV per atom) = 0.336
- electronic total energy (eV per atom) = -6.628

Cell: 3.7783 3.7783 17.0227 Å, 90.00 90.00 90.00°
Element x y z (fractional)
Ga: 0.0000 0.0000 0.0000
Ga: 0.0000 0.5000 0.2500
Ga: 0.5000 0.0000 0.7500
Ga: 0.5000 0.5000 0.5000
Co: 0.0000 0.0000 0.5000
Co: 0.0000 0.5000 0.7500
Co: 0.5000 0.0000 0.2500
Co: 0.5000 0.5000 0.0000
Ir: 0.2296 0.2500 0.6250
Ir: 0.2500 0.7296 0.8750
Ir: 0.2500 0.7704 0.3750
Ir: 0.2704 0.2500 0.1250
Ir: 0.7296 0.7500 0.1250
Ir: 0.7500 0.2296 0.3750
Ir: 0.7500 0.2704 0.8750
Ir: 0.7704 0.7500 0.6250

=====

No. 5
VASP calculation (GGA-PBE) on a relaxed structure of GaCoIr.

Computed properties:
- formation energy (eV per atom) = 0.058
- electronic total energy (eV per atom) = -6.273

Cell: 2.7678 4.2408 4.2560 Å, 90.00 90.00 90.00°
Element x y z (fractional)
Ga: 0.0000 0.0000 0.0000
Co: 0.0000 0.5000 0.5000
Ir: 0.5000 0.5000 0.0000

=====

No. 6
VASP calculation (GGA-PBE) on a relaxed structure of Ga2CoIr.

Computed properties:
- formation energy (eV per atom) = -0.336
- electronic total energy (eV per atom) = -5.842

Cell: 2.9854 2.9854 5.9072 Å, 90.00 90.00 90.00°
Element x y z (fractional)
Ga: 0.0000 0.0000 0.2317
Ga: 0.0000 0.0000 0.7683
Co: 0.5000 0.5000 0.0000
Ir: 0.5000 0.5000 0.5000

=====

No. 7
VASP calculation (GGA-PBE) on a relaxed structure of GaCoIr2.

Computed properties:
- formation energy (eV per atom) = -0.080
- electronic total energy (eV per atom) = -7.044

Cell: 3.9266 3.9266 3.5186 Å, 90.00 90.00 90.00°
Element x y z (fractional)
Ga: 0.0000 0.0000 0.0000
Co: 0.5000 0.5000 0.0000
Ir: 0.0000 0.5000 0.5000
Ir: 0.5000 0.0000 0.5000

=====

No. 8
VASP calculation (GGA-PBE) on a relaxed structure of Ga2CoIr2.

Computed properties:
- E above lowest polymorph (kJ/mol of formula units) = 0
- formation energy (eV per atom) = -0.074
- electronic total energy (eV per atom) = -6.251

Cell: 7.1732 7.1732 2.8573 Å, 90.00 90.00 90.00°
Element x y z (fractional)
Ga: 0.1401 0.3599 0.0000
Ga: 0.3599 0.8599 0.0000
Ga: 0.6401 0.1401 0.0000
Ga: 0.8599 0.6401 0.0000
Co: 0.0000 0.0000 0.0000
Co: 0.5000 0.5000 0.0000
Ir: 0.1595 0.6595 0.5000
Ir: 0.3405 0.1595 0.5000
Ir: 0.6595 0.8405 0.5000
Ir: 0.8405 0.3405 0.5000